Entry from the Alexandria database: a relaxed Li2TlPb crystal (GGA-PBEsol).

Lattice parameters (Å, degrees): 3.359 3.634 6.834 90.00 90.00 90.00
Positions (direct):
Pb1 0.500 0.500 0.000
Li1 0.000 0.000 0.255
Li2 0.000 0.000 0.745
Tl1 0.500 0.500 0.500

Output
* distance to the lowest polymorph of the same formula: 0.004 eV per atom
* VASP energy: -2.91 eV per atom
* DFT formation energy: -0.27 eV per atom
* space-group type: No. 47
* density: 8.5 g/cm3


Entry from the Alexandria database: a relaxed LiTl2Pb crystal (GGA-PBEsol).

Lattice parameters (Å, degrees): 3.445 5.708 6.111 115.73 106.37 90.00
Positions (direct):
Tl1 0.997 0.953 0.994
Tl2 0.229 0.795 0.457
Li1 0.505 0.416 0.010
Pb1 0.769 0.335 0.539

Output
* distance to the lowest polymorph of the same formula: 0.016 eV per atom
* VASP energy: -2.91 eV per atom
* DFT formation energy: -0.10 eV per atom
* space-group type: No. 8
* density: 10.1 g/cm3


Entry from the Alexandria database: a relaxed LiTlPb2 crystal (GGA-PBEsol).

Lattice parameters (Å, degrees): 3.495 5.659 5.772 103.33 107.63 90.00
Positions (direct):
Tl1 0.000 0.500 0.000
Pb1 0.237 0.238 0.473
Pb2 0.763 0.762 0.527
Li1 0.500 0.000 0.000

Output
* VASP energy: -3.24 eV per atom
* DFT formation energy: -0.10 eV per atom
* space-group type: No. 12
* density: 9.8 g/cm3


Entry from the Alexandria database: a relaxed LiTl2Pb crystal (GGA-PBEsol).

Lattice parameters (Å, degrees): 4.630 4.630 5.812 113.47 113.47 90.00
Positions (direct):
Tl1 0.750 0.250 0.500
Tl2 0.000 0.000 0.000
Pb1 0.250 0.750 0.500
Li1 0.500 0.500 0.000

Output
* distance to the lowest polymorph of the same formula: 0.009 eV per atom
* VASP energy: -2.91 eV per atom
* DFT formation energy: -0.11 eV per atom
* space-group type: No. 119
* density: 10.0 g/cm3


Entry from the Alexandria database: a relaxed LiTlPb2 crystal (GGA-PBEsol).

Lattice parameters (Å, degrees): 3.464 3.464 8.465 90.00 90.00 90.00
Positions (direct):
Tl1 0.000 0.000 0.534
Pb1 0.500 0.500 0.256
Pb2 0.000 0.000 0.966
Li1 0.500 0.500 0.744

Output
* VASP energy: -3.27 eV per atom
* DFT formation energy: -0.12 eV per atom
* space-group type: No. 99
* density: 10.2 g/cm3


Entry from the Alexandria database: a relaxed LiTl2Pb crystal (GGA-PBEsol).

Lattice parameters (Å, degrees): 5.313 5.313 5.313 60.00 60.00 60.00
Positions (direct):
Li1 0.000 0.000 0.000
Tl1 0.750 0.750 0.750
Tl2 0.250 0.250 0.250
Pb1 0.500 0.500 0.500

Output
* distance to the lowest polymorph of the same formula: 0.044 eV per atom
* VASP energy: -2.88 eV per atom
* DFT formation energy: -0.07 eV per atom
* space-group type: No. 225
* density: 9.8 g/cm3


no.,spin magnetization (μB per cell)
1,0.00
2,0.00
3,0.00
4,0.00
5,0.00
6,0.00